1.
SrCoRh: relaxed, PBEsol.

abc: 3.9908 3.9908 4.5965
angles: 90.00 90.00 120.00
Positions (direct):
Sr 0.6667 0.3333 0.3334
Rh 0.3333 0.6667 0.8333
Co 0.0000 0.0000 0.8333

Properties
formation energy from the elements: 126 meV per atom
magnetization: 0.629 μB/atom
space-group type: P-6m2, No. 187
crystal system: hexagonal
energy above the lowest structure with this stoichiometry: 0.000 eV per atom
calculated volume: 63 Å³/cell

---

2.
Sr2CoRh: relaxed, PBEsol.

abc: 3.4204 3.4204 8.5874
angles: 90.00 90.00 90.00
Positions (direct):
Sr 0.5000 0.5000 0.3347
Rh 0.5000 0.5000 0.6643
Sr 0.0000 0.0000 0.9127
Co 0.0000 0.0000 0.5883

Properties
formation energy from the elements: 261 meV per atom
magnetization: 0.415 μB/atom
space-group type: P4mm, No. 99
crystal system: tetragonal
calculated volume: 100 Å³/cell

---

3.
SrCo4Rh: relaxed, PBEsol.

abc: 4.9066 4.9066 4.9066
angles: 60.00 60.00 60.00
Positions (direct):
Co 0.8721 0.3760 0.3760
Co 0.3760 0.8721 0.3760
Co 0.3760 0.3760 0.8721
Rh 0.7500 0.7500 0.7500
Co 0.3760 0.3760 0.3760
Sr 0.0000 0.0000 0.0000

Properties
formation energy from the elements: 376 meV per atom
magnetization: 1.251 μB/atom
space-group type: F-43m, No. 216
crystal system: cubic
calculated volume: 84 Å³/cell

---

4.
Sr2YCoRh: relaxed, PBEsol.

abc: 4.2310 5.9807 5.9807
angles: 90.00 90.00 90.00
Positions (direct):
Sr 0.0000 0.0000 0.5000
Rh 0.5000 0.5000 0.5000
Co 0.5000 0.0000 0.0000
Sr 0.0000 0.5000 0.0000
Y 0.0000 0.0000 0.0000

Properties
formation energy from the elements: 1327 meV per atom
magnetization: 0.054 μB/atom
space-group type: P4/mmm, No. 123
crystal system: tetragonal
calculated volume: 151 Å³/cell

---

5.
TaCo3Rh: relaxed, PBEsol.

abc: 4.3080 4.3080 4.3080
angles: 90.00 90.00 90.00
Positions (direct):
Co 0.0000 0.5000 0.0000
Ta 0.0000 0.0000 0.0000
Rh 0.5000 0.5000 0.5000
Co 0.0000 0.0000 0.5000
Co 0.5000 0.0000 0.0000

Properties
formation energy from the elements: 1644 meV per atom
magnetization: 0.538 μB/atom
space-group type: Pm-3m, No. 221
crystal system: cubic
calculated volume: 80 Å³/cell

---

6.
TaCoRh: relaxed, PBEsol.

abc: 2.7501 2.7501 5.7679
angles: 103.78 103.78 90.03
Positions (direct):
Rh 0.3423 0.3423 0.6847
Ta 0.6614 0.6614 0.3228
Co 0.9963 0.9963 0.9926

Properties
formation energy from the elements: -117 meV per atom
magnetization: 0.322 μB/atom
space-group type: I4mm, No. 107
crystal system: tetragonal
calculated volume: 41 Å³/cell